Record 1
# CsRb4Br5, relaxed, DFT PBE-GGA
data_CsRb4Br5
_chemical_formula_sum 'Cs1 Rb4 Br5'
_cell_length_a 18.022
_cell_length_b 18.022
_cell_length_c 18.022
_cell_angle_alpha 164.02
_cell_angle_beta 164.02
_cell_angle_gamma 22.68
_symmetry_space_group_name_H-M 'P 1'
_symmetry_Int_Tables_number 1
loop_
_symmetry_equiv_pos_as_xyz
'x,y,z'
loop_
_atom_site_label
_atom_site_type_symbol
_atom_site_fract_x
_atom_site_fract_y
_atom_site_fract_z
Cs1 Cs 0.000 0.000 0.000
Rb1 Rb 0.201 0.201 0.000
Rb2 Rb 0.398 0.398 0.000
Rb3 Rb 0.602 0.602 0.000
Rb4 Rb 0.799 0.799 0.000
Br1 Br 0.103 0.103 0.000
Br2 Br 0.300 0.300 0.000
Br3 Br 0.500 0.500 0.000
Br4 Br 0.700 0.700 0.000
Br5 Br 0.897 0.897 0.000
# Magnetization ... 0.000 μB per atom
# Formation energy (no corrections) ... -1751 meV per atom
# Density of states at the Fermi level ... 0.00 states/eV/atom
# Calculated volume ... 44.36 Å³/atom

Record 2
# CsRbBr, relaxed, DFT PBE-GGA
data_CsRbBr
_chemical_formula_sum 'Cs2 Rb2 Br2'
_cell_length_a 5.110
_cell_length_b 5.110
_cell_length_c 17.140
_cell_angle_alpha 90.00
_cell_angle_beta 90.00
_cell_angle_gamma 120.00
_symmetry_space_group_name_H-M 'P 1'
_symmetry_Int_Tables_number 1
loop_
_symmetry_equiv_pos_as_xyz
'x,y,z'
loop_
_atom_site_label
_atom_site_type_symbol
_atom_site_fract_x
_atom_site_fract_y
_atom_site_fract_z
Cs1 Cs 0.333 0.667 0.131
Cs2 Cs 0.667 0.333 0.869
Rb1 Rb 0.000 0.000 0.371
Rb2 Rb 0.000 0.000 0.629
Br1 Br 0.333 0.667 0.742
Br2 Br 0.667 0.333 0.258
# Magnetization ... 0.000 μB per atom
# Formation energy (no corrections) ... -1115 meV per atom
# Density of states at the Fermi level ... 0.37 states/eV/atom
# Energy relative to the lowest polymorph listed for this composition ... 11 meV per atom
# Calculated volume ... 64.61 Å³/atom

Record 3
# Cs3Rb2Br, relaxed, DFT PBE-GGA
data_Cs3Rb2Br
_chemical_formula_sum 'Cs6 Rb4 Br2'
_cell_length_a 7.728
_cell_length_b 10.306
_cell_length_c 13.225
_cell_angle_alpha 90.00
_cell_angle_beta 106.93
_cell_angle_gamma 90.00
_symmetry_space_group_name_H-M 'P 1'
_symmetry_Int_Tables_number 1
loop_
_symmetry_equiv_pos_as_xyz
'x,y,z'
loop_
_atom_site_label
_atom_site_type_symbol
_atom_site_fract_x
_atom_site_fract_y
_atom_site_fract_z
Cs1 Cs 0.002 0.250 0.000
Cs2 Cs 0.396 0.000 0.793
Cs3 Cs 0.396 0.500 0.793
Cs4 Cs 0.604 0.000 0.207
Cs5 Cs 0.604 0.500 0.207
Cs6 Cs 0.998 0.750 0.000
Rb1 Rb 0.200 0.750 0.402
Rb2 Rb 0.202 0.250 0.402
Rb3 Rb 0.798 0.750 0.598
Rb4 Rb 0.800 0.250 0.598
Br1 Br 0.498 0.750 0.000
Br2 Br 0.502 0.250 0.000
# Magnetization ... 0.000 μB per atom
# Formation energy (no corrections) ... -554 meV per atom
# Density of states at the Fermi level ... 0.73 states/eV/atom
# Calculated volume ... 83.97 Å³/atom

Record 4
# Cs3Rb2Br4, relaxed, DFT PBE-GGA
data_Cs3Rb2Br4
_chemical_formula_sum 'Cs3 Rb2 Br4'
_cell_length_a 5.096
_cell_length_b 5.096
_cell_length_c 21.404
_cell_angle_alpha 90.04
_cell_angle_beta 90.04
_cell_angle_gamma 60.00
_symmetry_space_group_name_H-M 'P 1'
_symmetry_Int_Tables_number 1
loop_
_symmetry_equiv_pos_as_xyz
'x,y,z'
loop_
_atom_site_label
_atom_site_type_symbol
_atom_site_fract_x
_atom_site_fract_y
_atom_site_fract_z
Cs1 Cs 0.000 0.000 0.000
Cs2 Cs 0.334 0.334 0.389
Cs3 Cs 0.666 0.666 0.611
Rb1 Rb 0.333 0.333 0.806
Rb2 Rb 0.667 0.667 0.194
Br1 Br 0.001 0.001 0.286
Br2 Br 0.334 0.334 0.102
Br3 Br 0.666 0.666 0.898
Br4 Br 0.999 0.999 0.714
# Magnetization ... 0.000 μB per atom
# Formation energy (no corrections) ... -1554 meV per atom
# Density of states at the Fermi level ... 0.18 states/eV/atom
# Calculated volume ... 53.48 Å³/atom

Record 5
# Cs7RbBr2, relaxed, DFT PBE-GGA
data_Cs7RbBr2
_chemical_formula_sum 'Cs7 Rb1 Br2'
_cell_length_a 11.644
_cell_length_b 11.644
_cell_length_c 7.179
_cell_angle_alpha 90.00
_cell_angle_beta 90.00
_cell_angle_gamma 116.17
_symmetry_space_group_name_H-M 'P 1'
_symmetry_Int_Tables_number 1
loop_
_symmetry_equiv_pos_as_xyz
'x,y,z'
loop_
_atom_site_label
_atom_site_type_symbol
_atom_site_fract_x
_atom_site_fract_y
_atom_site_fract_z
Cs1 Cs 0.000 0.000 0.000
Cs2 Cs 0.164 0.448 0.000
Cs3 Cs 0.200 0.800 0.500
Cs4 Cs 0.448 0.164 0.000
Cs5 Cs 0.552 0.836 0.000
Cs6 Cs 0.800 0.200 0.500
Cs7 Cs 0.836 0.552 0.000
Rb1 Rb 0.500 0.500 0.500
Br1 Br 0.193 0.807 0.000
Br2 Br 0.807 0.193 0.000
# Magnetization ... 0.001 μB per atom
# Formation energy (no corrections) ... -623 meV per atom
# Density of states at the Fermi level ... 0.79 states/eV/atom
# Calculated volume ... 87.36 Å³/atom

Record 6
# CsRb2ReBr8, relaxed, DFT PBE-GGA
data_CsRb2ReBr8
_chemical_formula_sum 'Cs1 Rb2 Re1 Br8'
_cell_length_a 6.256
_cell_length_b 7.386
_cell_length_c 10.022
_cell_angle_alpha 89.53
_cell_angle_beta 74.83
_cell_angle_gamma 89.27
_symmetry_space_group_name_H-M 'P 1'
_symmetry_Int_Tables_number 1
loop_
_symmetry_equiv_pos_as_xyz
'x,y,z'
loop_
_atom_site_label
_atom_site_type_symbol
_atom_site_fract_x
_atom_site_fract_y
_atom_site_fract_z
Cs1 Cs 0.000 0.000 0.000
Rb1 Rb 0.338 0.499 0.314
Rb2 Rb 0.662 0.501 0.686
Re1 Re 0.000 0.000 0.500
Br1 Br 0.170 0.239 0.619
Br2 Br 0.172 0.756 0.619
Br3 Br 0.247 0.500 0.994
Br4 Br 0.331 0.999 0.289
Br5 Br 0.669 0.001 0.711
Br6 Br 0.753 0.500 0.006
Br7 Br 0.828 0.244 0.381
Br8 Br 0.830 0.761 0.381
# Magnetization ... 0.227 μB per atom
# Formation energy (no corrections) ... -1007 meV per atom
# Density of states at the Fermi level ... 0.31 states/eV/atom
# Calculated volume ... 37.25 Å³/atom

Record 7
# CsRb2RhBr6, relaxed, DFT PBE-GGA
data_CsRb2RhBr6
_chemical_formula_sum 'Cs2 Rb4 Rh2 Br12'
_cell_length_a 7.561
_cell_length_b 11.568
_cell_length_c 9.541
_cell_angle_alpha 90.00
_cell_angle_beta 90.00
_cell_angle_gamma 90.00
_symmetry_space_group_name_H-M 'P 1'
_symmetry_Int_Tables_number 1
loop_
_symmetry_equiv_pos_as_xyz
'x,y,z'
loop_
_atom_site_label
_atom_site_type_symbol
_atom_site_fract_x
_atom_site_fract_y
_atom_site_fract_z
Cs1 Cs 0.250 0.250 0.170
Cs2 Cs 0.750 0.750 0.830
Rb1 Rb 0.250 0.046 0.666
Rb2 Rb 0.250 0.454 0.666
Rb3 Rb 0.750 0.546 0.334
Rb4 Rb 0.750 0.954 0.334
Rh1 Rh 0.250 0.750 0.320
Rh2 Rh 0.750 0.250 0.680
Br1 Br 0.012 0.750 0.135
Br2 Br 0.019 0.750 0.513
Br3 Br 0.250 0.532 0.317
Br4 Br 0.250 0.968 0.317
Br5 Br 0.481 0.750 0.513
Br6 Br 0.488 0.750 0.135
Br7 Br 0.512 0.250 0.865
Br8 Br 0.519 0.250 0.487
Br9 Br 0.750 0.032 0.683
Br10 Br 0.750 0.468 0.683
Br11 Br 0.981 0.250 0.487
Br12 Br 0.988 0.250 0.865
# Magnetization ... 0.000 μB per atom
# Formation energy (no corrections) ... -1192 meV per atom
# Calculated volume ... 41.73 Å³/atom

Record 8
# Cs2RbRhBr6, relaxed, DFT PBE-GGA
data_Cs2RbRhBr6
_chemical_formula_sum 'Cs2 Rb1 Rh1 Br6'
_cell_length_a 8.166
_cell_length_b 8.166
_cell_length_c 8.166
_cell_angle_alpha 60.00
_cell_angle_beta 60.00
_cell_angle_gamma 60.00
_symmetry_space_group_name_H-M 'P 1'
_symmetry_Int_Tables_number 1
loop_
_symmetry_equiv_pos_as_xyz
'x,y,z'
loop_
_atom_site_label
_atom_site_type_symbol
_atom_site_fract_x
_atom_site_fract_y
_atom_site_fract_z
Cs1 Cs 0.250 0.250 0.250
Cs2 Cs 0.750 0.750 0.750
Rb1 Rb 0.000 0.000 0.000
Rh1 Rh 0.500 0.500 0.500
Br1 Br 0.282 0.282 0.718
Br2 Br 0.282 0.718 0.282
Br3 Br 0.282 0.718 0.718
Br4 Br 0.718 0.282 0.282
Br5 Br 0.718 0.282 0.718
Br6 Br 0.718 0.718 0.282
# Magnetization ... 0.000 μB per atom
# Formation energy (no corrections) ... -1217 meV per atom
# Density of states at the Fermi level ... 0.00 states/eV/atom
# Calculated volume ... 38.51 Å³/atom

Record 9
# Cs2RbRuBr6, relaxed, DFT PBE-GGA
data_Cs2RbRuBr6
_chemical_formula_sum 'Cs4 Rb2 Ru2 Br12'
_cell_length_a 7.983
_cell_length_b 11.573
_cell_length_c 8.487
_cell_angle_alpha 90.00
_cell_angle_beta 90.00
_cell_angle_gamma 90.00
_symmetry_space_group_name_H-M 'P 1'
_symmetry_Int_Tables_number 1
loop_
_symmetry_equiv_pos_as_xyz
'x,y,z'
loop_
_atom_site_label
_atom_site_type_symbol
_atom_site_fract_x
_atom_site_fract_y
_atom_site_fract_z
Cs1 Cs 0.250 0.013 0.224
Cs2 Cs 0.250 0.487 0.224
Cs3 Cs 0.750 0.513 0.776
Cs4 Cs 0.750 0.987 0.776
Rb1 Rb 0.250 0.250 0.720
Rb2 Rb 0.750 0.750 0.280
Ru1 Ru 0.250 0.750 0.776
Ru2 Ru 0.750 0.250 0.224
Br1 Br 0.026 0.750 0.565
Br2 Br 0.026 0.750 0.989
Br3 Br 0.250 0.531 0.776
Br4 Br 0.250 0.969 0.776
Br5 Br 0.474 0.750 0.565
Br6 Br 0.474 0.750 0.989
Br7 Br 0.526 0.250 0.011
Br8 Br 0.526 0.250 0.435
Br9 Br 0.750 0.031 0.224
Br10 Br 0.750 0.469 0.224
Br11 Br 0.974 0.250 0.011
Br12 Br 0.974 0.250 0.435
# Magnetization ... 0.101 μB per atom
# Formation energy (no corrections) ... -1146 meV per atom
# Density of states at the Fermi level ... 1.03 states/eV/atom
# Calculated volume ... 39.20 Å³/atom

Record 10
# CsRb2RuBr6, relaxed, DFT PBE-GGA
data_CsRb2RuBr6
_chemical_formula_sum 'Cs1 Rb2 Ru1 Br6'
_cell_length_a 8.300
_cell_length_b 8.300
_cell_length_c 8.300
_cell_angle_alpha 60.00
_cell_angle_beta 60.00
_cell_angle_gamma 60.00
_symmetry_space_group_name_H-M 'P 1'
_symmetry_Int_Tables_number 1
loop_
_symmetry_equiv_pos_as_xyz
'x,y,z'
loop_
_atom_site_label
_atom_site_type_symbol
_atom_site_fract_x
_atom_site_fract_y
_atom_site_fract_z
Cs1 Cs 0.000 0.000 0.000
Rb1 Rb 0.250 0.250 0.250
Rb2 Rb 0.750 0.750 0.750
Ru1 Ru 0.500 0.500 0.500
Br1 Br 0.285 0.285 0.715
Br2 Br 0.285 0.715 0.285
Br3 Br 0.285 0.715 0.715
Br4 Br 0.715 0.285 0.285
Br5 Br 0.715 0.285 0.715
Br6 Br 0.715 0.715 0.285
# Magnetization ... 0.100 μB per atom
# Formation energy (no corrections) ... -1083 meV per atom
# Density of states at the Fermi level ... 1.79 states/eV/atom
# Calculated volume ... 40.43 Å³/atom